Material: Cd2CoTc
Method: DFT, PBE
State: optimized geometry

Cell lengths 3.9616, 3.9616, 4.2253 Å; angles 90.00, 90.00, 90.00 degrees
Atoms (fractional coordinates):
1 Cd 0.0000 0.0000 0.0000
2 Cd 0.5000 0.5000 0.0000
3 Co 0.5000 0.0000 0.5000
4 Tc 0.0000 0.5000 0.5000

energy	-17.4	eV/cell
N(E_F)	4.0	states/eV/f.u.
magnetic moment	3.105	μB/cell
ΔE_f	1.93	eV per formula unit